Density functional theory data (PBE) for a relaxed structure of Ca2Cd5Hg4.

Cell lengths 5.926, 9.273, 10.113 Å; angles 90.00, 90.00, 90.00 degrees
Space group Immm (No. 71)
Asymmetric unit:
1 Ca 0.000 0.000 0.210 (multiplicity 4)
2 Cd 0.000 0.500 0.500 (multiplicity 2)
3 Cd 0.246 0.174 0.500 (multiplicity 8)
4 Hg 0.000 0.334 0.255 (multiplicity 8)

Output
Magnetization, μB per formula unit: 0.00
Raw total energy, eV/atom: -1.10
Energy of formation from the pure elements, meV per atom: -212.3
Calculated density, Mg/m³: 8.6